Below is crystalline Tc3Os at its relaxed geometry, with properties calculated at the PBE level.

a = 5.1259 Å, b = 5.1259 Å, c = 5.1259 Å
α = 117.05°, β = 117.05°, γ = 117.05°
Last column: nearest neighbours and their distance in Å.
Element x y z (fractional)
Tc (0.0000, 0.5000, 0.5000)  6 Tc 2.67-2.68, 2 Os 2.68
Tc (0.5000, 0.0000, 0.5000)  6 Tc 2.67-2.68, 2 Os 2.68
Tc (0.5000, 0.5000, 0.0000)  6 Tc 2.67-2.68, 2 Os 2.68
Os (0.0000, 0.0000, 0.0000)  2 Os 2.67, 6 Tc 2.68

Results
As for the energy above the lowest structure with this stoichiometry: 0.447 eV/atom. The value obtained for the formation energy is 1.572 eV/f.u. The calculated volume is 59 Å³/cell. The mass density comes out at 13.64 g/cm3.

=====

Below is crystalline Tc3Os at its relaxed geometry, with properties calculated at the PBE level.

a = 4.3697 Å, b = 4.3697 Å, c = 4.3697 Å
α = 60.00°, β = 60.00°, γ = 60.00°
Last column: nearest neighbours and their distance in Å.
Element x y z (fractional)
Tc (0.0000, 0.0000, 0.0000)  8 Tc 2.68
Tc (0.2500, 0.2500, 0.2500)  4 Os 2.68, 4 Tc 2.68
Tc (0.7500, 0.7500, 0.7500)  4 Tc 2.68, 4 Os 2.68
Os (0.5000, 0.5000, 0.5000)  8 Tc 2.68

Results
As for the energy above the lowest structure with this stoichiometry: 0.452 eV/atom. The value obtained for the formation energy is 1.592 eV/f.u. The calculated volume is 59 Å³/cell. The mass density comes out at 13.63 g/cm3.

=====

Below is crystalline TcOs5 at its relaxed geometry, with properties calculated at the PBE level.

a = 5.0476 Å, b = 5.0476 Å, c = 4.4332 Å
α = 90.00°, β = 90.00°, γ = 120.00°
Last column: nearest neighbours and their distance in Å.
Element x y z (fractional)
Tc (0.0000, 0.0000, 0.0000)  6 Os 2.91
Os (0.0000, 0.5000, 0.5000)  8 Os 2.52-2.65
Os (0.3333, 0.6667, 0.0000)  9 Os 2.65-2.91, 3 Tc 2.91
Os (0.5000, 0.0000, 0.5000)  8 Os 2.52-2.65
Os (0.5000, 0.5000, 0.5000)  8 Os 2.52-2.65
Os (0.6667, 0.3333, 0.0000)  9 Os 2.65-2.91, 3 Tc 2.91

Results
As for the energy above the lowest structure with this stoichiometry: 1.032 eV/atom. The value obtained for the formation energy is 5.871 eV/f.u. The calculated volume is 98 Å³/cell. The mass density comes out at 17.81 g/cm3.

=====

Below is crystalline Tc3Os at its relaxed geometry, with properties calculated at the PBE level.

a = 4.7404 Å, b = 4.7404 Å, c = 4.7404 Å
α = 90.00°, β = 90.00°, γ = 90.00°
Last column: nearest neighbours and their distance in Å.
Element x y z (fractional)
Tc (0.0000, 0.0000, 0.5000)  2 Os 2.37
Tc (0.0000, 0.5000, 0.0000)  2 Os 2.37
Tc (0.5000, 0.0000, 0.0000)  2 Os 2.37
Os (0.0000, 0.0000, 0.0000)  6 Tc 2.37

Results
As for the energy above the lowest structure with this stoichiometry: 2.538 eV/atom. The value obtained for the formation energy is 9.936 eV/f.u. The calculated volume is 107 Å³/cell. The mass density comes out at 7.55 g/cm3.

=====

Below is crystalline Tc3Os2 at its relaxed geometry, with properties calculated at the PBE level.

a = 11.3372 Å, b = 11.3372 Å, c = 11.3372 Å
α = 13.82°, β = 13.82°, γ = 13.82°
Last column: nearest neighbours and their distance in Å.
Element x y z (fractional)
Tc (0.0000, 0.0000, 0.0000)  6 Tc 2.73, 6 Os 2.73
Tc (0.1995, 0.1995, 0.1995)  9 Tc 2.71-2.73, 3 Os 2.77
Tc (0.8005, 0.8005, 0.8005)  9 Tc 2.71-2.73, 3 Os 2.77
Os (0.3995, 0.3995, 0.3995)  6 Os 2.73, 6 Tc 2.73-2.77
Os (0.6005, 0.6005, 0.6005)  6 Os 2.73, 6 Tc 2.73-2.77

Results
As for the energy above the lowest structure with this stoichiometry: 0.000 eV/atom. The value obtained for the formation energy is 0.313 eV/f.u. The calculated volume is 72 Å³/cell. The mass density comes out at 15.47 g/cm3.

=====

Below is crystalline Tc3Os at its relaxed geometry, with properties calculated at the PBE level.

a = 9.0979 Å, b = 9.0979 Å, c = 9.0979 Å
α = 17.31°, β = 17.31°, γ = 17.31°
Last column: nearest neighbours and their distance in Å.
Element x y z (fractional)
Tc (0.0000, 0.0000, 0.0000)  12 Tc 2.74-2.75
Tc (0.2498, 0.2498, 0.2498)  3 Os 2.74, 9 Tc 2.74-2.75
Tc (0.7502, 0.7502, 0.7502)  3 Os 2.74, 9 Tc 2.74-2.75
Os (0.5000, 0.5000, 0.5000)  6 Tc 2.74, 6 Os 2.74

Results
As for the energy above the lowest structure with this stoichiometry: 0.124 eV/atom. The value obtained for the formation energy is 0.280 eV/f.u. The calculated volume is 58 Å³/cell. The mass density comes out at 13.82 g/cm3.

=====

Below is crystalline Tc3Os at its relaxed geometry, with properties calculated at the PBE level.

a = 5.2944 Å, b = 5.2944 Å, c = 4.4482 Å
α = 90.00°, β = 90.00°, γ = 89.61°
Last column: nearest neighbours and their distance in Å.
Element x y z (fractional)
Tc (0.0773, 0.9227, 0.7500)  6 Tc 2.51-2.78, 1 Os 2.55
Tc (0.0820, 0.5765, 0.2500)  5 Tc 2.52-2.78, 2 Os 2.77-2.78
Tc (0.4235, 0.9180, 0.2500)  5 Tc 2.52-2.78, 2 Os 2.77-2.78
Tc (0.5765, 0.0820, 0.7500)  5 Tc 2.52-2.78, 2 Os 2.77-2.78
Tc (0.9180, 0.4235, 0.7500)  5 Tc 2.52-2.78, 2 Os 2.77-2.78
Tc (0.9227, 0.0773, 0.2500)  6 Tc 2.51-2.78, 1 Os 2.55
Os (0.4184, 0.5816, 0.7500)  2 Os 2.54, 5 Tc 2.55-2.78
Os (0.5816, 0.4184, 0.2500)  2 Os 2.54, 5 Tc 2.55-2.78

Results
As for the energy above the lowest structure with this stoichiometry: 0.376 eV/atom. The value obtained for the formation energy is 1.286 eV/f.u. The calculated volume is 125 Å³/cell. The mass density comes out at 12.90 g/cm3.

=====

Below is crystalline Tc3Os2 at its relaxed geometry, with properties calculated at the PBE level.

a = 9.5781 Å, b = 6.0201 Å, c = 11.1431 Å
α = 59.21°, β = 32.68°, γ = 88.11°
Last column: nearest neighbours and their distance in Å.
Element x y z (fractional)
Tc (0.0000, 0.0000, 0.0000)  4 Os 2.58-2.74, 6 Tc 2.64-2.86
Tc (0.2500, 0.2500, 0.2500)  4 Os 2.58-2.74, 6 Tc 2.64-2.86
Tc (0.3532, 0.8070, 0.4567)  3 Os 2.52-2.67, 3 Tc 2.64-2.76
Tc (0.7933, 0.8669, 0.8968)  3 Os 2.52-2.67, 3 Tc 2.64-2.76
Tc (0.8070, 0.3532, 0.3831)  3 Os 2.52-2.67, 3 Tc 2.64-2.76
Tc (0.8669, 0.7933, 0.4430)  3 Os 2.52-2.67, 3 Tc 2.64-2.76
Os (0.3045, 0.5864, 0.7776)  5 Tc 2.52-2.74, 4 Os 2.62-2.76
Os (0.4724, 0.9186, 0.9455)  5 Tc 2.52-2.74, 4 Os 2.62-2.76
Os (0.5864, 0.3045, 0.3314)  5 Tc 2.52-2.74, 4 Os 2.62-2.76
Os (0.9186, 0.4724, 0.6636)  5 Tc 2.52-2.74, 4 Os 2.62-2.76

Results
As for the energy above the lowest structure with this stoichiometry: 0.270 eV/atom. The value obtained for the formation energy is 1.660 eV/f.u. The calculated volume is 153 Å³/cell. The mass density comes out at 14.61 g/cm3.